# 1
# NdSbMo PBE relaxed
data_NdSbMo
_chemical_formula_sum 'Nd2 Sb2 Mo2'
_cell_length_a 4.367
_cell_length_b 4.253
_cell_length_c 7.955
_cell_angle_alpha 90.00
_cell_angle_beta 93.17
_cell_angle_gamma 90.00
_space_group_name_H-M_alt 'P 1'
_space_group_IT_number 1
loop_
_space_group_symop_operation_xyz
'x,y,z'
loop_
_atom_site_label
_atom_site_fract_x
_atom_site_fract_y
_atom_site_fract_z
Nd1 0.235 0.250 0.341
Nd2 0.765 0.750 0.659
Sb1 0.285 0.250 0.767
Sb2 0.715 0.750 0.233
Mo1 0.178 0.750 0.000
Mo2 0.822 0.250 0.000
# E_form (uncorrected) in eV/atom: -0.42

***

# 2
First-principles (PBE) data for a relaxed NdScMo4 crystal, as listed in the Alexandria database.

```
data_NdScMo4
_chemical_formula_sum 'Nd1 Sc1 Mo4'
_cell_length_a 5.487
_cell_length_b 5.487
_cell_length_c 5.487
_cell_angle_alpha 60.00
_cell_angle_beta 60.00
_cell_angle_gamma 60.00
_space_group_name_H-M_alt 'P 1'
_space_group_IT_number 1
loop_
_space_group_symop_operation_xyz
'x,y,z'
loop_
_atom_site_label
_atom_site_fract_x
_atom_site_fract_y
_atom_site_fract_z
Nd1 0.000 0.000 0.000
Sc1 0.750 0.750 0.750
Mo1 0.375 0.375 0.375
Mo2 0.375 0.375 0.876
Mo3 0.375 0.876 0.375
Mo4 0.876 0.375 0.375
```

***

# 3
# Nd2MoSe5 PBE relaxed
data_Nd2MoSe5
_chemical_formula_sum 'Nd4 Mo2 Se10'
_cell_length_a 7.250
_cell_length_b 7.250
_cell_length_c 7.999
_cell_angle_alpha 90.00
_cell_angle_beta 90.00
_cell_angle_gamma 90.00
_space_group_name_H-M_alt 'P 1'
_space_group_IT_number 1
loop_
_space_group_symop_operation_xyz
'x,y,z'
loop_
_atom_site_label
_atom_site_fract_x
_atom_site_fract_y
_atom_site_fract_z
Nd1 0.000 0.500 0.000
Nd2 0.000 0.500 0.500
Nd3 0.500 0.000 0.000
Nd4 0.500 0.000 0.500
Mo1 0.000 0.000 0.135
Mo2 0.500 0.500 0.635
Se1 0.000 0.000 0.859
Se2 0.237 0.237 0.214
Se3 0.237 0.763 0.214
Se4 0.263 0.263 0.714
Se5 0.263 0.737 0.714
Se6 0.500 0.500 0.359
Se7 0.737 0.263 0.714
Se8 0.737 0.737 0.714
Se9 0.763 0.237 0.214
Se10 0.763 0.763 0.214
# E_form (uncorrected) in eV/atom: -1.04

***

# 4
# NdMo6Se8 PBE relaxed
data_NdMo6Se8
_chemical_formula_sum 'Nd1 Mo6 Se8'
_cell_length_a 6.816
_cell_length_b 6.816
_cell_length_c 6.816
_cell_angle_alpha 88.81
_cell_angle_beta 88.81
_cell_angle_gamma 88.81
_space_group_name_H-M_alt 'P 1'
_space_group_IT_number 1
loop_
_space_group_symop_operation_xyz
'x,y,z'
loop_
_atom_site_label
_atom_site_fract_x
_atom_site_fract_y
_atom_site_fract_z
Nd1 0.000 0.000 0.000
Mo1 0.236 0.424 0.560
Mo2 0.424 0.560 0.236
Mo3 0.440 0.764 0.576
Mo4 0.560 0.236 0.424
Mo5 0.576 0.440 0.764
Mo6 0.764 0.576 0.440
Se1 0.122 0.754 0.374
Se2 0.241 0.241 0.241
Se3 0.246 0.626 0.878
Se4 0.374 0.122 0.754
Se5 0.626 0.878 0.246
Se6 0.754 0.374 0.122
Se7 0.759 0.759 0.759
Se8 0.878 0.246 0.626
# E_form (uncorrected) in eV/atom: -0.73

***

# 5
# NdSi2Mo PBE relaxed
data_NdSi2Mo
_chemical_formula_sum 'Nd3 Si6 Mo3'
_cell_length_a 4.214
_cell_length_b 4.214
_cell_length_c 15.457
_cell_angle_alpha 90.00
_cell_angle_beta 90.00
_cell_angle_gamma 120.00
_space_group_name_H-M_alt 'P 1'
_space_group_IT_number 1
loop_
_space_group_symop_operation_xyz
'x,y,z'
loop_
_atom_site_label
_atom_site_fract_x
_atom_site_fract_y
_atom_site_fract_z
Nd1 0.000 0.000 0.000
Nd2 0.333 0.667 0.667
Nd3 0.667 0.333 0.333
Si1 0.000 0.000 0.212
Si2 0.000 0.000 0.788
Si3 0.333 0.667 0.454
Si4 0.333 0.667 0.879
Si5 0.667 0.333 0.121
Si6 0.667 0.333 0.546
Mo1 0.000 0.000 0.500
Mo2 0.333 0.667 0.167
Mo3 0.667 0.333 0.833
# E_form (uncorrected) in eV/atom: -0.36

***

# 6
# Nd2Si4Mo3 PBE relaxed
data_Nd2Si4Mo3
_chemical_formula_sum 'Nd4 Si8 Mo6'
_cell_length_a 6.971
_cell_length_b 7.027
_cell_length_c 6.894
_cell_angle_alpha 90.00
_cell_angle_beta 109.02
_cell_angle_gamma 90.00
_space_group_name_H-M_alt 'P 1'
_space_group_IT_number 1
loop_
_space_group_symop_operation_xyz
'x,y,z'
loop_
_atom_site_label
_atom_site_fract_x
_atom_site_fract_y
_atom_site_fract_z
Nd1 0.188 0.167 0.061
Nd2 0.188 0.333 0.561
Nd3 0.812 0.667 0.439
Nd4 0.812 0.833 0.939
Si1 0.096 0.549 0.875
Si2 0.096 0.951 0.375
Si3 0.493 0.633 0.628
Si4 0.493 0.867 0.128
Si5 0.507 0.133 0.872
Si6 0.507 0.367 0.372
Si7 0.904 0.049 0.625
Si8 0.904 0.451 0.125
Mo1 0.255 0.661 0.250
Mo2 0.255 0.839 0.750
Mo3 0.500 0.000 0.500
Mo4 0.500 0.500 0.000
Mo5 0.745 0.161 0.250
Mo6 0.745 0.339 0.750
# E_form (uncorrected) in eV/atom: -0.56

***

# 7
# NdSi2TcMo PBE relaxed
data_NdSi2TcMo
_chemical_formula_sum 'Nd2 Si4 Tc2 Mo2'
_cell_length_a 4.073
_cell_length_b 4.073
_cell_length_c 10.914
_cell_angle_alpha 90.00
_cell_angle_beta 90.00
_cell_angle_gamma 90.00
_space_group_name_H-M_alt 'P 1'
_space_group_IT_number 1
loop_
_space_group_symop_operation_xyz
'x,y,z'
loop_
_atom_site_label
_atom_site_fract_x
_atom_site_fract_y
_atom_site_fract_z
Nd1 0.000 0.000 0.000
Nd2 0.500 0.500 0.500
Si1 0.000 0.000 0.384
Si2 0.000 0.000 0.616
Si3 0.500 0.500 0.116
Si4 0.500 0.500 0.884
Tc1 0.000 0.500 0.250
Tc2 0.500 0.000 0.750
Mo1 0.000 0.500 0.750
Mo2 0.500 0.000 0.250
# E_form (uncorrected) in eV/atom: -0.52

***

# 8
First-principles (PBE) data for a relaxed TbNdMo crystal, as listed in the Alexandria database.

```
data_TbNdMo
_chemical_formula_sum 'Tb2 Nd2 Mo2'
_cell_length_a 8.845
_cell_length_b 8.529
_cell_length_c 4.662
_cell_angle_alpha 78.21
_cell_angle_beta 70.72
_cell_angle_gamma 31.06
_space_group_name_H-M_alt 'P 1'
_space_group_IT_number 1
loop_
_space_group_symop_operation_xyz
'x,y,z'
loop_
_atom_site_label
_atom_site_fract_x
_atom_site_fract_y
_atom_site_fract_z
Tb1 0.092 0.092 0.908
Tb2 0.908 0.908 0.092
Nd1 0.250 0.250 0.250
Nd2 0.750 0.750 0.750
Mo1 0.345 0.655 0.345
Mo2 0.655 0.345 0.655
```

***

# 9
First-principles (PBE) data for a relaxed TbNdMo4 crystal, as listed in the Alexandria database.

```
data_TbNdMo4
_chemical_formula_sum 'Tb1 Nd1 Mo4'
_cell_length_a 5.558
_cell_length_b 5.558
_cell_length_c 5.558
_cell_angle_alpha 60.00
_cell_angle_beta 60.00
_cell_angle_gamma 60.00
_space_group_name_H-M_alt 'P 1'
_space_group_IT_number 1
loop_
_space_group_symop_operation_xyz
'x,y,z'
loop_
_atom_site_label
_atom_site_fract_x
_atom_site_fract_y
_atom_site_fract_z
Tb1 0.000 0.000 0.000
Nd1 0.250 0.250 0.250
Mo1 0.126 0.625 0.625
Mo2 0.625 0.126 0.625
Mo3 0.625 0.625 0.126
Mo4 0.625 0.625 0.625
```

***

# 10
First-principles (PBE) data for a relaxed NdTi2Mo crystal, as listed in the Alexandria database.

```
data_NdTi2Mo
_chemical_formula_sum 'Nd1 Ti2 Mo1'
_cell_length_a 3.268
_cell_length_b 3.268
_cell_length_c 7.745
_cell_angle_alpha 90.00
_cell_angle_beta 90.00
_cell_angle_gamma 90.00
_space_group_name_H-M_alt 'P 1'
_space_group_IT_number 1
loop_
_space_group_symop_operation_xyz
'x,y,z'
loop_
_atom_site_label
_atom_site_fract_x
_atom_site_fract_y
_atom_site_fract_z
Nd1 0.000 0.000 0.000
Ti1 0.500 0.500 0.317
Ti2 0.500 0.500 0.683
Mo1 0.000 0.000 0.500
```

***

# 11
First-principles (PBE) data for a relaxed NdTi2Mo crystal, as listed in the Alexandria database.

```
data_NdTi2Mo
_chemical_formula_sum 'Nd3 Ti6 Mo3'
_cell_length_a 3.121
_cell_length_b 3.121
_cell_length_c 29.960
_cell_angle_alpha 90.00
_cell_angle_beta 90.00
_cell_angle_gamma 120.00
_space_group_name_H-M_alt 'P 1'
_space_group_IT_number 1
loop_
_space_group_symop_operation_xyz
'x,y,z'
loop_
_atom_site_label
_atom_site_fract_x
_atom_site_fract_y
_atom_site_fract_z
Nd1 0.000 0.000 0.000
Nd2 0.333 0.667 0.667
Nd3 0.667 0.333 0.333
Ti1 0.000 0.000 0.103
Ti2 0.000 0.000 0.897
Ti3 0.333 0.667 0.564
Ti4 0.333 0.667 0.769
Ti5 0.667 0.333 0.231
Ti6 0.667 0.333 0.436
Mo1 0.000 0.000 0.500
Mo2 0.333 0.667 0.167
Mo3 0.667 0.333 0.833
```

***

# 12
First-principles (PBE) data for a relaxed NdTmMo4 crystal, as listed in the Alexandria database.

```
data_NdTmMo4
_chemical_formula_sum 'Nd1 Tm1 Mo4'
_cell_length_a 5.538
_cell_length_b 5.538
_cell_length_c 5.538
_cell_angle_alpha 60.00
_cell_angle_beta 60.00
_cell_angle_gamma 60.00
_space_group_name_H-M_alt 'P 1'
_space_group_IT_number 1
loop_
_space_group_symop_operation_xyz
'x,y,z'
loop_
_atom_site_label
_atom_site_fract_x
_atom_site_fract_y
_atom_site_fract_z
Nd1 0.000 0.000 0.000
Tm1 0.750 0.750 0.750
Mo1 0.375 0.375 0.375
Mo2 0.375 0.375 0.876
Mo3 0.375 0.876 0.375
Mo4 0.876 0.375 0.375
```

***

Raw total energy? In order: -6.99, -8.92, -5.77, -7.23, -6.97, -7.65, -7.88, -6.03, -8.60, -7.77, -7.49, -8.60 eV/atom.
M_tot? In order: 0.00, 0.00, 0.00, 0.00, 0.00, 0.00, 0.00, 0.00, 0.00, 0.00, 0.00, 0.00 μB/f.u..